1.
Entry from the Alexandria database: YCrFe2Tc after structural relaxation (GGA-PBE).

Cell lengths 4.3497, 4.5096, 4.3497 Å; angles 90.00, 90.00, 90.00 degrees
Fractional coordinates of all 5 atoms:
Cr (0.0000, 0.5000, 0.0000)
Fe (0.0000, 0.0000, 0.5000)
Tc (0.5000, 0.5000, 0.5000)
Y (0.0000, 0.0000, 0.0000)
Fe (0.5000, 0.0000, 0.0000)

Calculated values
DOS at the Fermi energy   13.14 states/eV/f.u.
E_tot   -6.1649 eV per atom
Mass density   6.82 g cm⁻³
DFT formation energy   2.5109 eV per atom


2.
Entry from the Alexandria database: ZnCrFeTc after structural relaxation (GGA-PBE).

Cell lengths 4.1593, 4.1593, 4.1593 Å; angles 60.00, 60.00, 60.00 degrees
Fractional coordinates of all 4 atoms:
Cr (0.5000, 0.5000, 0.5000)
Fe (0.2500, 0.2500, 0.2500)
Zn (0.0000, 0.0000, 0.0000)
Tc (0.7500, 0.7500, 0.7500)

Calculated values
DOS at the Fermi energy   3.42 states/eV/f.u.
E_tot   -7.2611 eV per atom
Mass density   8.85 g cm⁻³
DFT formation energy   0.1704 eV per atom


3.
Entry from the Alexandria database: CrFeTe2 after structural relaxation (GGA-PBE).

Cell lengths 8.3980, 8.3980, 8.3980 Å; angles 26.88, 26.88, 26.88 degrees
Fractional coordinates of all 4 atoms:
Te (0.8956, 0.8956, 0.8956)
Te (0.1044, 0.1044, 0.1044)
Fe (0.0000, 0.0000, 0.0000)
Cr (0.5000, 0.5000, 0.5000)

Calculated values
DOS at the Fermi energy   4.83 states/eV/f.u.
Energy relative to the elements, uncorrected   389 meV/atom
E_tot   -5.7036 eV per atom
Distance to the lowest polymorph of the same formula   331 meV/atom
Mass density   5.65 g cm⁻³


4.
Entry from the Alexandria database: CrFe2Te after structural relaxation (GGA-PBE).

Cell lengths 4.7224, 4.7224, 4.7224 Å; angles 133.62, 133.62, 67.69 degrees
Fractional coordinates of all 4 atoms:
Fe (0.2500, 0.7500, 0.5000)
Fe (0.0000, 0.0000, 0.0000)
Cr (0.7500, 0.2500, 0.5000)
Te (0.5000, 0.5000, 0.0000)

Calculated values
DOS at the Fermi energy   4.13 states/eV/f.u.
Energy relative to the elements, uncorrected   369 meV/atom
E_tot   -7.0533 eV per atom
Distance to the lowest polymorph of the same formula   31 meV/atom
Mass density   8.91 g cm⁻³